(1)
The following is a DFT calculation (PBE) of a relaxed PmNb2Ge2 crystal.

Unit cell a=4.085 b=4.085 c=12.169 alpha=90.00 beta=90.00 gamma=90.00
Space group I4/mmm (No. 139)
Symmetry-distinct sites (fractional):
1 Pm 0.000 0.000 0.000
2 Nb 0.000 0.500 0.250
3 Ge 0.000 0.000 0.396

VASP energy, Ry per atom: -0.54690
Density, Mg/m³: 7.8

=====

(2)
The following is a DFT calculation (PBE) of a relaxed LaPm2SiN4 crystal.

Unit cell a=3.490 b=11.808 c=11.974 alpha=90.00 beta=90.00 gamma=90.00
Space group Cmcm (No. 63)
Symmetry-distinct sites (fractional):
1 La 0.000 0.090 0.250
2 Pm 0.000 0.368 0.043
3 Si 0.000 0.181 0.750
4 N 0.000 0.000 0.000
5 N 0.000 0.270 0.635
6 N 0.000 0.401 0.250

E_form (uncorrected), kJ per mole of atoms: -117
Density, Mg/m³: 6.9

=====

(3)
The following is a DFT calculation (PBE) of a relaxed LuMgGaAu crystal.

Unit cell a=6.829 b=6.829 c=6.829 alpha=90.00 beta=90.00 gamma=90.00
Space group F-43m (No. 216)
Symmetry-distinct sites (fractional):
1 Lu 0.000 0.000 0.000
2 Mg 0.000 0.000 0.500
3 Ga 0.250 0.250 0.750
4 Au 0.250 0.250 0.250

VASP energy, Ry per atom: -0.27368
Density, Mg/m³: 9.7

=====

(4)
The following is a DFT calculation (PBE) of a relaxed Mg4CuNi crystal.

Unit cell a=6.366 b=6.366 c=5.255 alpha=90.00 beta=90.00 gamma=90.00
Space group P4/mcc (No. 124)
Symmetry-distinct sites (fractional):
1 Mg 0.165 0.322 0.000
2 Cu 0.500 0.500 0.250
3 Ni 0.000 0.000 0.250

VASP energy, Ry per atom: -0.20955
Density, Mg/m³: 3.4

=====

(5)
The following is a DFT calculation (PBE) of a relaxed LaNi3B crystal.

Unit cell a=5.6428 b=5.6428 c=10.0878 alpha=90.00 beta=90.00 gamma=120.00
Space group P6_3/mmc (No. 194)
Symmetry-distinct sites (fractional):
1 La 0.0000 0.0000 0.0000
2 La 0.3333 0.6667 0.2500
3 Ni 0.0000 0.5000 0.0000
4 Ni 0.1622 0.3245 0.7500
5 B 0.3333 0.6667 0.6320

VASP energy, Ry per atom: -0.44368
Density, Mg/m³: 7.8

=====

(6)
The following is a DFT calculation (PBE) of a relaxed SmY5Hg4 crystal.

Unit cell a=3.701 b=3.701 c=20.040 alpha=90.00 beta=90.00 gamma=90.00
Space group P4/mmm (No. 123)
Symmetry-distinct sites (fractional):
1 Sm 0.000 0.000 0.000
2 Y 0.500 0.500 0.124
3 Y 0.500 0.500 0.313
4 Y 0.500 0.500 0.500
5 Hg 0.000 0.000 0.217
6 Hg 0.000 0.000 0.405

VASP energy, Ry per atom: -0.31043
Density, Mg/m³: 8.5

=====

(7)
The following is a DFT calculation (PBE) of a relaxed CaHg2Pd crystal.

Unit cell a=16.019 b=8.195 c=5.629 alpha=90.00 beta=90.00 gamma=90.00
Space group Pnma (No. 62)
Symmetry-distinct sites (fractional):
1 Ca 0.105 0.250 0.238
2 Ca 0.141 0.750 0.463
3 Hg 0.034 0.053 0.735
4 Hg 0.215 0.551 0.960
5 Pd 0.069 0.750 0.968
6 Pd 0.181 0.250 0.738

VASP energy, Ry per atom: -0.17933
Density, Mg/m³: 9.8

=====

(8)
The following is a DFT calculation (PBE) of a relaxed AcTb3Te6 crystal.

Unit cell a=12.643 b=4.487 c=13.007 alpha=90.00 beta=109.24 gamma=90.00
Space group P2_1/m (No. 11)
Symmetry-distinct sites (fractional):
1 Ac 0.050 0.250 0.198
2 Tb 0.156 0.250 0.586
3 Tb 0.321 0.750 0.000
4 Tb 0.443 0.250 0.336
5 Te 0.086 0.750 0.409
6 Te 0.124 0.250 0.968
7 Te 0.200 0.750 0.750
8 Te 0.268 0.750 0.228
9 Te 0.389 0.250 0.555
10 Te 0.484 0.250 0.116

E_form (uncorrected), kJ per mole of atoms: -141
Density, Mg/m³: 7.0

=====

(9)
The following is a DFT calculation (PBE) of a relaxed LiCr3Hg crystal.

Unit cell a=5.208 b=5.208 c=5.208 alpha=90.00 beta=90.00 gamma=90.00
Space group Pm-3m (No. 221)
Symmetry-distinct sites (fractional):
1 Li 0.000 0.000 0.000
2 Cr 0.000 0.500 0.500
3 Hg 0.500 0.500 0.500

VASP energy, Ry per atom: -0.35731
Density, Mg/m³: 4.3

=====

(10)
The following is a DFT calculation (PBE) of a relaxed RbTiAg2F8 crystal.

Unit cell a=4.938 b=5.418 c=7.687 alpha=96.15 beta=94.11 gamma=91.42
Space group P-1 (No. 2)
Symmetry-distinct sites (fractional):
1 Rb 0.000 0.000 0.000
2 Ti 0.000 0.000 0.500
3 Ag 0.436 0.484 0.763
4 F 0.139 0.796 0.316
5 F 0.179 0.815 0.668
6 F 0.303 0.232 0.515
7 F 0.487 0.266 0.995

E_form (uncorrected), kJ per mole of atoms: -226
Density, Mg/m³: 4.1